<w>
Sr2SiCl | GGA-PBE | relaxed

## Properties
Crystal system: orthorhombic
SG: Immm (71)

Geometry as POSCAR:
```
Sr2SiCl
1.0
-2.3162 3.1633 4.1383
2.3162 -3.1633 4.1383
2.3162 3.1633 -4.1383
Sr Si Cl
2 1 1
Direct
0.2313 0.2313 0.0000 Sr
0.7687 0.7687 0.0000 Sr
0.5000 0.0000 0.5000 Si
0.0000 0.5000 0.5000 Cl
```

<x>
Sr2SiCl | GGA-PBE | relaxed

## Properties
Crystal system: orthorhombic
SG: Pmmm (47)

Geometry as POSCAR:
```
Sr2SiCl
1.0
3.7045 0.0000 0.0000
0.0000 4.1414 0.0000
0.0000 0.0000 8.2957
Sr Si Cl
2 1 1
Direct
0.0000 0.0000 0.2126 Sr
0.0000 0.0000 0.7874 Sr
0.5000 0.5000 0.0000 Si
0.5000 0.0000 0.5000 Cl
```

Q: Which of them is the least stable? A: <w>.

<w>
TaSi3Cl | GGA-PBE | relaxed

## Properties
Crystal system: cubic
SG: Pm-3m (221)

Geometry as POSCAR:
```
TaSi3Cl
1.0
4.4757 0.0000 0.0000
0.0000 4.4757 0.0000
0.0000 0.0000 4.4757
Ta Si Cl
1 3 1
Direct
0.0000 0.0000 0.0000 Ta
0.0000 0.5000 0.5000 Si
0.5000 0.0000 0.5000 Si
0.5000 0.5000 0.0000 Si
0.5000 0.5000 0.5000 Cl
```

<x>
TaSi3Cl | GGA-PBE | relaxed

## Properties
Crystal system: cubic
SG: Pm-3m (221)

Geometry as POSCAR:
```
TaSi3Cl
1.0
4.9697 0.0000 0.0000
0.0000 4.9697 0.0000
0.0000 0.0000 4.9697
Ta Si Cl
1 3 1
Direct
0.0000 0.0000 0.0000 Ta
0.0000 0.0000 0.5000 Si
0.0000 0.5000 0.0000 Si
0.5000 0.0000 0.0000 Si
0.5000 0.5000 0.5000 Cl
```

Q: Which of them is the least stable? A: <w>.

<w>
TaSiCl3 | GGA-PBE | relaxed

## Properties
Crystal system: cubic
SG: Pm-3m (221)

Geometry as POSCAR:
```
TaSiCl3
1.0
4.8900 0.0000 0.0000
0.0000 4.8900 0.0000
0.0000 0.0000 4.8900
Ta Si Cl
1 1 3
Direct
0.0000 0.0000 0.0000 Ta
0.5000 0.5000 0.5000 Si
0.0000 0.0000 0.5000 Cl
0.0000 0.5000 0.0000 Cl
0.5000 0.0000 0.0000 Cl
```

<x>
TaSiCl3 | GGA-PBE | relaxed

## Properties
Crystal system: cubic
SG: Pm-3m (221)

Geometry as POSCAR:
```
TaSiCl3
1.0
4.9843 0.0000 0.0000
0.0000 4.9843 0.0000
0.0000 0.0000 4.9843
Ta Si Cl
1 1 3
Direct
0.0000 0.0000 0.0000 Ta
0.5000 0.5000 0.5000 Si
0.0000 0.5000 0.5000 Cl
0.5000 0.0000 0.5000 Cl
0.5000 0.5000 0.0000 Cl
```

Q: Which of them is the least stable? A: <x>.

<w>
Si3TcCl | GGA-PBE | relaxed

## Properties
Crystal system: cubic
SG: Pm-3m (221)

Geometry as POSCAR:
```
Si3TcCl
1.0
4.4604 0.0000 0.0000
0.0000 4.4604 0.0000
0.0000 0.0000 4.4604
Si Tc Cl
3 1 1
Direct
0.0000 0.0000 0.5000 Si
0.0000 0.5000 0.0000 Si
0.5000 0.0000 0.0000 Si
0.5000 0.5000 0.5000 Tc
0.0000 0.0000 0.0000 Cl
```

<x>
Si3TcCl | GGA-PBE | relaxed

## Properties
Crystal system: cubic
SG: Pm-3m (221)

Geometry as POSCAR:
```
Si3TcCl
1.0
4.6761 0.0000 0.0000
0.0000 4.6761 0.0000
0.0000 0.0000 4.6761
Si Tc Cl
3 1 1
Direct
0.0000 0.0000 0.5000 Si
0.0000 0.5000 0.0000 Si
0.5000 0.0000 0.0000 Si
0.0000 0.0000 0.0000 Tc
0.5000 0.5000 0.5000 Cl
```

Q: Which of them is the least stable? A: <w>.